Record 1
This record from the Alexandria database describes crystalline RbMg2ScMn at its relaxed geometry. The functional is GGA-PBEsol.

CIF file:
```
data_RbMg2ScMn
_cell_length_a 5.6434
_cell_length_b 5.6434
_cell_length_c 5.9464
_cell_angle_alpha 90.00
_cell_angle_beta 90.00
_cell_angle_gamma 90.00
_space_group_name_H-M_alt 'P 4/m m m'
_space_group_IT_number 123
_space_group_name_Hall '-P 4 2'
loop_
_atom_site_label
_atom_site_type_symbol
_atom_site_fract_x
_atom_site_fract_y
_atom_site_fract_z
Rb1 Rb 0.0000 0.0000 0.0000
Mg1 Mg 0.0000 0.5000 0.5000
Sc1 Sc 0.0000 0.0000 0.5000
Mn1 Mn 0.5000 0.5000 0.0000
```

Output
Crystal system: tetragonal
Calculated formation energy: 1462 meV/atom
Electronic total energy: -13.513 eV/f.u.

Record 2
This record from the Alexandria database describes crystalline MgMn2Re at its relaxed geometry. The functional is GGA-PBEsol.

CIF file:
```
data_MgMn2Re
_cell_length_a 3.0812
_cell_length_b 4.2992
_cell_length_c 8.3814
_cell_angle_alpha 90.00
_cell_angle_beta 90.00
_cell_angle_gamma 90.00
_space_group_name_H-M_alt 'C m m m'
_space_group_IT_number 65
_space_group_name_Hall '-C 2 2'
loop_
_atom_site_label
_atom_site_type_symbol
_atom_site_fract_x
_atom_site_fract_y
_atom_site_fract_z
Mg1 Mg 0.0000 0.0000 0.0000
Mn1 Mn 0.0000 0.5000 0.2670
Re1 Re 0.0000 0.0000 0.5000
```

Output
Crystal system: orthorhombic
Calculated formation energy: 347 meV/atom
Electronic total energy: -33.182 eV/f.u.

Record 3
This record from the Alexandria database describes crystalline Mg2MnRe at its relaxed geometry. The functional is GGA-PBEsol.

CIF file:
```
data_Mg2MnRe
_cell_length_a 2.7850
_cell_length_b 2.7850
_cell_length_c 28.2008
_cell_angle_alpha 90.00
_cell_angle_beta 90.00
_cell_angle_gamma 120.00
_space_group_name_H-M_alt 'R -3 m'
_space_group_IT_number 166
_space_group_name_Hall '-R 3 2"'
loop_
_atom_site_label
_atom_site_type_symbol
_atom_site_fract_x
_atom_site_fract_y
_atom_site_fract_z
Mg1 Mg 0.0000 0.0000 0.2505
Mn1 Mn 0.0000 0.0000 0.0000
Re1 Re 0.0000 0.0000 0.5000
```

Output
Crystal system: trigonal
Energy relative to the lowest polymorph listed for this composition: 0 meV per atom
Calculated formation energy: 458 meV/atom
Electronic total energy: -24.697 eV/f.u.

Record 4
This record from the Alexandria database describes crystalline Mg2MnRe at its relaxed geometry. The functional is GGA-PBEsol.

CIF file:
```
data_Mg2MnRe
_cell_length_a 3.7401
_cell_length_b 3.7401
_cell_length_c 8.6680
_cell_angle_alpha 90.00
_cell_angle_beta 90.00
_cell_angle_gamma 90.00
_space_group_name_H-M_alt 'I 4/m m m'
_space_group_IT_number 139
_space_group_name_Hall '-I 4 2'
loop_
_atom_site_label
_atom_site_type_symbol
_atom_site_fract_x
_atom_site_fract_y
_atom_site_fract_z
Mg1 Mg 0.0000 0.5000 0.2500
Mn1 Mn 0.0000 0.0000 0.0000
Re1 Re 0.0000 0.0000 0.5000
```

Output
Crystal system: tetragonal
Energy relative to the lowest polymorph listed for this composition: 37 meV per atom
Calculated formation energy: 494 meV/atom
Electronic total energy: -24.550 eV/f.u.

Record 5
This record from the Alexandria database describes crystalline MgMn2Rh at its relaxed geometry. The functional is GGA-PBEsol.

CIF file:
```
data_MgMn2Rh
_cell_length_a 4.2631
_cell_length_b 4.2631
_cell_length_c 6.0114
_cell_angle_alpha 90.00
_cell_angle_beta 90.00
_cell_angle_gamma 90.00
_space_group_name_H-M_alt 'I -4 m 2'
_space_group_IT_number 119
_space_group_name_Hall 'I -4 -2'
loop_
_atom_site_label
_atom_site_type_symbol
_atom_site_fract_x
_atom_site_fract_y
_atom_site_fract_z
Mg1 Mg 0.0000 0.0000 0.0000
Mn1 Mn 0.0000 0.0000 0.5000
Mn2 Mn 0.0000 0.5000 0.2500
Rh1 Rh 0.0000 0.5000 0.7500
```

Output
Crystal system: tetragonal
Calculated formation energy: 61 meV/atom
Electronic total energy: -29.135 eV/f.u.

Record 6
This record from the Alexandria database describes crystalline MgMn2Rh at its relaxed geometry. The functional is GGA-PBEsol.

CIF file:
```
data_MgMn2Rh
_cell_length_a 2.6813
_cell_length_b 2.6813
_cell_length_c 26.2179
_cell_angle_alpha 90.00
_cell_angle_beta 90.00
_cell_angle_gamma 120.00
_space_group_name_H-M_alt 'R -3 m'
_space_group_IT_number 166
_space_group_name_Hall '-R 3 2"'
loop_
_atom_site_label
_atom_site_type_symbol
_atom_site_fract_x
_atom_site_fract_y
_atom_site_fract_z
Mg1 Mg 0.0000 0.0000 0.0000
Mn1 Mn 0.0000 0.0000 0.2454
Rh1 Rh 0.0000 0.0000 0.5000
```

Output
Crystal system: trigonal
Calculated formation energy: 338 meV/atom
Electronic total energy: -28.028 eV/f.u.